# FeHgRu2 | Alexandria | GGA-PBE | optimized geometry
data_FeHgRu2
_chemical_formula_sum 'Fe1 Hg1 Ru2'
_cell_length_a 9.186
_cell_length_b 9.186
_cell_length_c 9.186
_cell_angle_alpha 17.54
_cell_angle_beta 17.54
_cell_angle_gamma 17.54
_symmetry_space_group_name_H-M 'P 1'
_symmetry_Int_Tables_number 1
loop_
_symmetry_equiv_pos_as_xyz
'x,y,z'
loop_
_atom_site_label
_atom_site_fract_x
_atom_site_fract_y
_atom_site_fract_z
Fe1 0.000 0.000 0.000
Hg1 0.755 0.755 0.755
Ru1 0.256 0.256 0.256
Ru2 0.514 0.514 0.514
# Density of states at the Fermi level (states/eV per cell): 4.735
# Space group: No. 160
# Energy of formation from the pure elements (eV per atom): 0.4052